DFT (PBE-GGA) results for a relaxed Pm4SmHo crystal.

ΔE_f in eV/atom: 0.063
Distance to the lowest polymorph of the same formula in meV/atom: 0.0
Symmetry: Imma, No. 74

Cell lengths 12.099, 12.099, 12.099 Å; angles 152.13, 41.11, 150.39 degrees
Sites, in units of the cell vectors:
1 Pm 0.095 0.426 0.669
2 Pm 0.148 0.059 0.089
3 Pm 0.257 0.426 0.831
4 Pm 0.470 0.059 0.411
5 Pm 0.530 0.941 0.589
6 Pm 0.743 0.574 0.169
7 Pm 0.852 0.941 0.911
8 Pm 0.905 0.574 0.331
9 Sm 0.000 0.500 0.500
10 Sm 0.500 0.500 0.000
11 Ho 0.328 0.078 0.250
12 Ho 0.672 0.922 0.750

***

DFT (PBE-GGA) results for a relaxed Pm8Sm3Ho3 crystal.

ΔE_f in eV/atom: 0.102
Symmetry: Immm, No. 71

Cell lengths 9.787, 9.787, 9.787 Å; angles 146.06, 112.17, 78.06 degrees
Sites, in units of the cell vectors:
1 Pm 0.058 0.397 0.662
2 Pm 0.064 0.222 0.841
3 Pm 0.265 0.603 0.662
4 Pm 0.381 0.222 0.159
5 Pm 0.619 0.778 0.841
6 Pm 0.735 0.397 0.338
7 Pm 0.936 0.778 0.159
8 Pm 0.942 0.603 0.338
9 Sm 0.320 0.820 0.500
10 Sm 0.500 0.500 0.000
11 Sm 0.680 0.180 0.500
12 Ho 0.000 0.000 0.000
13 Ho 0.299 0.000 0.299
14 Ho 0.701 0.000 0.701

***

DFT (PBE-GGA) results for a relaxed Pm5SmHo crystal.

ΔE_f in eV/atom: 0.880
Distance to the lowest polymorph of the same formula in meV/atom: 0.0
Symmetry: Imm2, No. 44

Cell lengths 7.801, 7.801, 7.801 Å; angles 118.11, 81.37, 132.76 degrees
Sites, in units of the cell vectors:
1 Pm 0.000 0.000 0.000
2 Pm 0.486 0.734 0.752
3 Pm 0.734 0.056 0.321
4 Pm 0.734 0.413 0.679
5 Pm 0.982 0.734 0.248
6 Sm 0.467 0.467 0.000
7 Ho 0.235 0.735 0.500

***

DFT (PBE-GGA) results for a relaxed PmSm2Ho crystal.

ΔE_f in eV/atom: 0.016
Distance to the lowest polymorph of the same formula in meV/atom: 0.1
Symmetry: I-4m2, No. 119

Cell lengths 6.242, 6.242, 6.242 Å; angles 131.68, 131.68, 70.73 degrees
Sites, in units of the cell vectors:
1 Pm 0.000 0.000 0.000
2 Sm 0.500 0.500 0.000
3 Sm 0.750 0.250 0.500
4 Ho 0.250 0.750 0.500

***

DFT (PBE-GGA) results for a relaxed Pm3Sm4Ho3 crystal.

ΔE_f in eV/atom: 0.091
Symmetry: Amm2, No. 38

Cell lengths 3.791, 9.420, 9.420 Å; angles 90.18, 90.00, 90.00 degrees
Sites, in units of the cell vectors:
1 Pm 0.000 0.000 0.000
2 Pm 0.500 0.334 0.827
3 Pm 0.500 0.827 0.334
4 Sm 0.500 0.203 0.203
5 Sm 0.500 0.458 0.458
6 Sm 0.500 0.699 0.957
7 Sm 0.500 0.957 0.699
8 Ho 0.000 0.161 0.500
9 Ho 0.000 0.500 0.161
10 Ho 0.000 0.659 0.659

***

DFT (PBE-GGA) results for a relaxed PmSm5Ho2 crystal.

ΔE_f in eV/atom: 0.167
Distance to the lowest polymorph of the same formula in meV/atom: 151.3
Symmetry: P-1, No. 2

Cell lengths 5.802, 8.618, 11.382 Å; angles 90.03, 90.05, 106.29 degrees
Sites, in units of the cell vectors:
1 Pm 0.003 0.154 0.250
2 Pm 0.997 0.846 0.750
3 Sm 0.161 0.209 0.924
4 Sm 0.162 0.209 0.577
5 Sm 0.266 0.582 0.250
6 Sm 0.305 0.622 0.922
7 Sm 0.306 0.622 0.578
8 Sm 0.694 0.378 0.422
9 Sm 0.695 0.378 0.078
10 Sm 0.734 0.418 0.750
11 Sm 0.838 0.791 0.423
12 Sm 0.839 0.791 0.076
13 Ho 0.391 0.964 0.383
14 Ho 0.393 0.965 0.118
15 Ho 0.607 0.035 0.882
16 Ho 0.609 0.036 0.617

***

DFT (PBE-GGA) results for a relaxed Pm2Sm2Ho crystal.

ΔE_f in eV/atom: 0.135
Distance to the lowest polymorph of the same formula in meV/atom: 65.3
Symmetry: Imma, No. 74

Cell lengths 16.462, 16.462, 16.462 Å; angles 167.32, 159.75, 23.97 degrees
Sites, in units of the cell vectors:
1 Pm 0.043 0.293 0.750
2 Pm 0.442 0.192 0.250
3 Pm 0.558 0.808 0.750
4 Pm 0.957 0.707 0.250
5 Sm 0.131 0.881 0.250
6 Sm 0.229 0.979 0.250
7 Sm 0.771 0.021 0.750
8 Sm 0.869 0.119 0.750
9 Ho 0.328 0.578 0.750
10 Ho 0.672 0.422 0.250

***

DFT (PBE-GGA) results for a relaxed Pm2Sm4Ho5 crystal.

ΔE_f in eV/atom: 0.200
Distance to the lowest polymorph of the same formula in meV/atom: 52.9
Symmetry: C2/m, No. 12

Cell lengths 12.138, 12.138, 8.872 Å; angles 93.66, 93.66, 16.26 degrees
Sites, in units of the cell vectors:
1 Pm 0.045 0.045 0.353
2 Pm 0.955 0.955 0.647
3 Sm 0.089 0.089 0.735
4 Sm 0.283 0.283 0.172
5 Sm 0.717 0.717 0.828
6 Sm 0.911 0.911 0.265
7 Ho 0.137 0.137 0.094
8 Ho 0.188 0.188 0.473
9 Ho 0.500 0.500 0.000
10 Ho 0.812 0.812 0.527
11 Ho 0.863 0.863 0.906

***

DFT (PBE-GGA) results for a relaxed Pm2Sm2Ho5 crystal.

ΔE_f in eV/atom: 0.209
Distance to the lowest polymorph of the same formula in meV/atom: 199.5
Symmetry: Ima2, No. 46

Cell lengths 10.113, 10.113, 10.113 Å; angles 84.62, 108.42, 141.06 degrees
Sites, in units of the cell vectors:
1 Pm 0.003 0.127 0.130
2 Pm 0.003 0.373 0.377
3 Pm 0.997 0.627 0.623
4 Pm 0.997 0.873 0.870
5 Sm 0.441 0.701 0.240
6 Sm 0.462 0.201 0.760
7 Sm 0.546 0.046 0.500
8 Sm 0.546 0.546 0.000
9 Ho 0.107 0.298 0.703
10 Ho 0.107 0.904 0.309
11 Ho 0.396 0.401 0.496
12 Ho 0.431 0.024 0.122
13 Ho 0.431 0.809 0.907
14 Ho 0.595 0.404 0.297
15 Ho 0.595 0.798 0.691
16 Ho 0.902 0.309 0.878
17 Ho 0.902 0.524 0.093
18 Ho 0.905 0.901 0.504

***

DFT (PBE-GGA) results for a relaxed Pm3SmHo8 crystal.

ΔE_f in eV/atom: 0.017
Symmetry: Imm2, No. 44

Cell lengths 8.475, 8.475, 8.475 Å; angles 100.11, 95.75, 136.41 degrees
Sites, in units of the cell vectors:
1 Pm 0.000 0.000 0.000
2 Pm 0.414 0.664 0.750
3 Pm 0.914 0.664 0.250
4 Sm 0.500 0.000 0.500
5 Ho 0.417 0.334 0.418
6 Ho 0.417 0.999 0.082
7 Ho 0.497 0.329 0.832
8 Ho 0.497 0.664 0.168
9 Ho 0.917 0.334 0.918
10 Ho 0.917 0.999 0.582
11 Ho 0.997 0.329 0.333
12 Ho 0.997 0.664 0.667

***

DFT (PBE-GGA) results for a relaxed PmSm4Ho4 crystal.

ΔE_f in eV/atom: 0.017
Symmetry: I4/mmm, No. 139

Cell lengths 8.016, 8.016, 8.016 Å; angles 95.70, 95.70, 143.25 degrees
Sites, in units of the cell vectors:
1 Pm 0.000 0.000 0.000
2 Sm 0.000 0.332 0.332
3 Sm 0.000 0.668 0.668
4 Sm 0.332 0.000 0.332
5 Sm 0.668 0.000 0.668
6 Ho 0.333 0.333 0.666
7 Ho 0.333 0.667 0.000
8 Ho 0.667 0.333 0.000
9 Ho 0.667 0.667 0.334

***

DFT (PBE-GGA) results for a relaxed Pm5Sm2Ho5 crystal.

ΔE_f in eV/atom: 0.017
Symmetry: C2/m, No. 12

Cell lengths 8.033, 8.033, 11.378 Å; angles 115.09, 115.09, 36.82 degrees
Sites, in units of the cell vectors:
1 Pm 0.000 0.000 0.000
2 Pm 0.085 0.085 0.751
3 Pm 0.166 0.166 0.499
4 Pm 0.834 0.834 0.501
5 Pm 0.915 0.915 0.249
6 Sm 0.417 0.417 0.752
7 Sm 0.583 0.583 0.248
8 Ho 0.250 0.250 0.249
9 Ho 0.332 0.332 0.999
10 Ho 0.500 0.500 0.500
11 Ho 0.668 0.668 0.001
12 Ho 0.750 0.750 0.751